DFT (PBE-GGA) results for a relaxed Pr5Nd3In crystal.

Cell lengths 7.125, 7.125, 13.731 Å; angles 90.09, 90.09, 72.26 degrees
Atoms (fractional coordinates):
Pr: 0.500 0.500 0.255
In: 0.997 0.997 0.742
Pr: 0.500 0.500 0.745
Pr: 0.979 0.528 0.664
Nd: 0.240 0.240 0.120
Pr: 0.327 0.673 0.000
Pr: 0.235 0.235 0.868
Pr: 0.765 0.765 0.132
Pr: 0.528 0.979 0.664
Pr: 0.021 0.472 0.336
Nd: 0.000 0.000 0.000
In: 0.003 0.003 0.258
Nd: 0.760 0.760 0.880
Pr: 0.673 0.327 0.000
Pr: 0.472 0.021 0.336
Nd: 0.633 0.633 0.490
Nd: 0.000 0.000 0.500
Nd: 0.367 0.367 0.510

Its energy of formation from the pure elements is 0.25 eV/atom. The value obtained for the density of states at the Fermi level is 1.445 states/eV/atom. Its space group is C2/m.

DFT (PBE-GGA) results for a relaxed Mg2Ag2Te crystal.

Cell lengths 7.443, 7.443, 3.965 Å; angles 90.00, 90.00, 90.00 degrees
Atoms (fractional coordinates):
Te: 0.500 0.500 0.000
Mg: 0.660 0.840 0.500
Mg: 0.340 0.160 0.500
Ag: 0.631 0.131 0.000
Mg: 0.160 0.660 0.500
Te: 0.000 0.000 0.000
Mg: 0.840 0.340 0.500
Ag: 0.131 0.369 0.000
Ag: 0.369 0.869 0.000
Ag: 0.869 0.631 0.000

The value obtained for the density of states at the Fermi level is 0.390 states/eV/atom. The energy above the most stable polymorph in this dataset comes out at 0.0438 eV/atom. The value obtained for the energy relative to the elements, uncorrected is -148 meV per atom. Its space group is P4/mbm.

DFT (PBE-GGA) results for a relaxed BaSiB3 crystal.

Cell lengths 4.914, 4.914, 4.914 Å; angles 90.00, 90.00, 90.00 degrees
Atoms (fractional coordinates):
B: 0.500 0.000 0.000
Ba: 0.000 0.000 0.000
B: 0.000 0.000 0.500
B: 0.000 0.500 0.000
Si: 0.500 0.500 0.500

The value obtained for the density of states at the Fermi level is 0.498 states/eV/atom. The energy above the most stable polymorph in this dataset comes out at 1.9908 eV/atom. The value obtained for the energy relative to the elements, uncorrected is 3065 meV per atom. Its space group is Pm-3m.

DFT (PBE-GGA) results for a relaxed Tl3TeS4 crystal.

Cell lengths 6.241, 9.098, 9.756 Å; angles 90.00, 90.00, 90.00 degrees
Atoms (fractional coordinates):
S: 0.078 0.890 0.000
S: 0.578 0.110 0.500
Tl: 0.563 0.333 0.273
Tl: 0.063 0.667 0.773
S: 0.570 0.674 0.302
Te: 0.496 0.828 0.500
S: 0.608 0.167 0.000
Tl: 0.563 0.333 0.727
Tl: 0.068 0.169 0.500
Tl: 0.063 0.667 0.227
Te: 0.996 0.172 0.000
S: 0.070 0.326 0.198
S: 0.070 0.326 0.802
Tl: 0.568 0.831 0.000
S: 0.570 0.674 0.698
S: 0.108 0.833 0.500

The value obtained for the density of states at the Fermi level is 0.389 states/eV/atom. The value obtained for the energy relative to the elements, uncorrected is -105 meV per atom. Its space group is Pmn2_1.

DFT (PBE-GGA) results for a relaxed KUAgO5 crystal.

Cell lengths 6.162, 6.162, 8.112 Å; angles 99.34, 99.34, 116.01 degrees
Atoms (fractional coordinates):
Ag: 0.672 0.328 0.250
O: 0.352 0.289 0.075
O: 0.778 0.154 0.426
K: 0.680 0.320 0.750
O: 0.222 0.846 0.574
K: 0.320 0.680 0.250
U: 0.000 0.000 0.500
O: 0.711 0.648 0.425
O: 0.289 0.352 0.575
O: 0.846 0.222 0.074
O: 0.934 0.066 0.750
O: 0.066 0.934 0.250
O: 0.154 0.778 0.926
U: 0.000 0.000 0.000
O: 0.648 0.711 0.925
Ag: 0.328 0.672 0.750

The value obtained for the density of states at the Fermi level is 0.522 states/eV/atom. The value obtained for the energy relative to the elements, uncorrected is -1817 meV per atom. Its space group is C2/c.

DFT (PBE-GGA) results for a relaxed Sc2TlCl6 crystal.

Cell lengths 7.374, 6.543, 6.543 Å; angles 120.00, 90.00, 90.00 degrees
Atoms (fractional coordinates):
Cl: 0.700 0.635 0.635
Cl: 0.700 0.000 0.365
Sc: 0.500 0.333 0.667
Tl: 0.000 0.000 0.000
Cl: 0.300 0.635 0.000
Sc: 0.500 0.667 0.333
Cl: 0.300 0.365 0.365
Cl: 0.700 0.365 0.000
Cl: 0.300 0.000 0.635

The value obtained for the density of states at the Fermi level is 0.603 states/eV/atom. The value obtained for the energy relative to the elements, uncorrected is -1819 meV per atom. Its space group is P-31m.

DFT (PBE-GGA) results for a relaxed MgRuAu3 crystal.

Cell lengths 4.762, 4.762, 4.762 Å; angles 90.00, 90.00, 90.00 degrees
Atoms (fractional coordinates):
Mg: 0.000 0.000 0.000
Ru: 0.500 0.500 0.500
Au: 0.000 0.000 0.500
Au: 0.000 0.500 0.000
Au: 0.500 0.000 0.000

Its energy of formation from the pure elements is 1.05 eV/atom. The value obtained for the density of states at the Fermi level is 0.890 states/eV/atom. The energy above the most stable polymorph in this dataset comes out at 0.2536 eV/atom. Its space group is Pm-3m.

DFT (PBE-GGA) results for a relaxed ScIr3Au crystal.

Cell lengths 4.663, 4.663, 4.663 Å; angles 90.00, 90.00, 90.00 degrees
Atoms (fractional coordinates):
Ir: 0.000 0.000 0.500
Ir: 0.500 0.000 0.000
Ir: 0.000 0.500 0.000
Au: 0.500 0.500 0.500
Sc: 0.000 0.000 0.000

Its energy of formation from the pure elements is 1.55 eV/atom. The value obtained for the density of states at the Fermi level is 1.721 states/eV/atom. The energy above the most stable polymorph in this dataset comes out at 0.0000 eV/atom. Its space group is Pm-3m.

DFT (PBE-GGA) results for a relaxed BaLa2SeBr crystal.

Cell lengths 5.707, 6.448, 5.707 Å; angles 90.00, 90.00, 90.00 degrees
Atoms (fractional coordinates):
Br: 0.500 0.500 0.500
La: 0.000 0.000 0.500
La: 0.500 0.000 0.000
Ba: 0.000 0.500 0.000
Se: 0.000 0.000 0.000

The value obtained for the density of states at the Fermi level is 1.575 states/eV/atom. The value obtained for the energy relative to the elements, uncorrected is -726 meV per atom. Its space group is P4/mmm.

DFT (PBE-GGA) results for a relaxed Na2MgBiF crystal.

Cell lengths 4.572, 4.572, 5.065 Å; angles 90.00, 90.00, 90.00 degrees
Atoms (fractional coordinates):
Bi: 0.500 0.500 0.500
Mg: 0.000 0.000 0.500
Na: 0.000 0.500 0.000
Na: 0.500 0.000 0.000
F: 0.000 0.000 0.000

The value obtained for the density of states at the Fermi level is 0.289 states/eV/atom. The value obtained for the energy relative to the elements, uncorrected is -1181 meV per atom. Its space group is P4/mmm.

DFT (PBE-GGA) results for a relaxed La6Mg2Ag crystal.

Cell lengths 6.637, 9.891, 9.320 Å; angles 90.00, 78.75, 90.00 degrees
Atoms (fractional coordinates):
La: 0.630 0.458 0.298
La: 0.406 0.802 0.453
La: 0.370 0.542 0.702
La: 0.906 0.698 0.953
Mg: 0.833 0.415 0.782
La: 0.870 0.958 0.202
La: 0.094 0.302 0.047
Ag: 0.000 0.000 0.500
La: 0.392 0.828 0.018
La: 0.608 0.172 0.982
Mg: 0.167 0.585 0.218
Mg: 0.333 0.085 0.282
La: 0.130 0.042 0.798
Ag: 0.500 0.500 0.000
La: 0.892 0.672 0.518
Mg: 0.667 0.915 0.718
La: 0.108 0.328 0.482
La: 0.594 0.198 0.547

Its energy of formation from the pure elements is 0.01 eV/atom. The value obtained for the density of states at the Fermi level is 1.225 states/eV/atom. The energy above the most stable polymorph in this dataset comes out at 0.0691 eV/atom. Its space group is P2_1/c.

DFT (PBE-GGA) results for a relaxed Y3Mn crystal.

Cell lengths 5.375, 5.375, 5.375 Å; angles 60.00, 60.00, 60.00 degrees
Atoms (fractional coordinates):
Y: 0.750 0.750 0.750
Y: 0.250 0.250 0.250
Y: 0.500 0.500 0.500
Mn: 0.000 0.000 0.000

Its energy of formation from the pure elements is 0.31 eV/atom. The value obtained for the density of states at the Fermi level is 1.837 states/eV/atom. Its space group is Fm-3m.

Question: The highest density of states at the Fermi level belongs to which entry?
Answer: Y3Mn